[1]
An optimized crystal structure of BiB3Br, computed with PBE-GGA.

Cell: 4.3361 4.3361 4.3361 Å, 90.00 90.00 90.00°
Closest atoms and distances in Å follow each position.
Space group Pm-3m (No. 221)
Unique sites:
Bi: 0.0000 0.0000 0.0000 x1  12 B 3.07
B: 0.0000 0.5000 0.5000 x3  2 Br 2.17
Br: 0.5000 0.5000 0.5000 x1  6 B 2.17



[2]
An optimized crystal structure of BiBBr3, computed with PBE-GGA.

Cell: 4.8709 4.8709 4.8709 Å, 90.00 90.00 90.00°
Closest atoms and distances in Å follow each position.
Space group Pm-3m (No. 221)
Unique sites:
Bi: 0.0000 0.0000 0.0000 x1  12 Br 3.44
B: 0.5000 0.5000 0.5000 x1  6 Br 2.44
Br: 0.0000 0.5000 0.5000 x3  2 B 2.44



[3]
An optimized crystal structure of BiBBr2, computed with PBE-GGA.

Cell: 3.6030 3.6030 25.1706 Å, 90.00 90.00 120.00°
Closest atoms and distances in Å follow each position.
Space group R-3m (No. 166, hexagonal axes)
Unique sites:
Bi: 0.0000 0.0000 0.0000 x3  6 Br 3.38, 6 Bi 3.60
B: 0.0000 0.0000 0.5000 x3  6 Br 2.58
Br: 0.0000 0.0000 0.2276 x6  3 B 2.58



[4]
An optimized crystal structure of BiB3Br, computed with PBE-GGA.

Cell: 4.9186 4.9186 4.9186 Å, 90.00 90.00 90.00°
Closest atoms and distances in Å follow each position.
Space group Pm-3m (No. 221)
Unique sites:
Bi: 0.0000 0.0000 0.0000 x1  6 B 2.46
B: 0.0000 0.0000 0.5000 x3  2 Bi 2.46
Br: 0.5000 0.5000 0.5000 x1  12 B 3.48



[5]
An optimized crystal structure of BiBBr2, computed with PBE-GGA.

Cell: 3.5284 3.5284 30.9957 Å, 90.00 90.00 120.00°
Closest atoms and distances in Å follow each position.
Space group R-3m (No. 166, hexagonal axes)
Unique sites:
Bi: 0.0000 0.0000 0.0000 x3  6 Bi 3.53, 6 Br 3.92
B: 0.0000 0.0000 0.5000 x3  2 Br 1.82
Br: 0.0000 0.0000 0.4412 x6  1 B 1.82



[6]
An optimized crystal structure of CaBiB2Br, computed with PBE-GGA.

Cell: 4.8552 4.8552 5.6505 Å, 90.00 90.00 90.00°
Closest atoms and distances in Å follow each position.
Space group P4/mmm (No. 123)
Unique sites:
Ca: 0.0000 0.0000 0.0000 x1  4 Bi 3.43, 8 B 3.72
Bi: 0.5000 0.5000 0.0000 x1  2 Br 2.83
B: 0.0000 0.5000 0.5000 x2  2 Br 2.43
Br: 0.5000 0.5000 0.5000 x1  4 B 2.43



[7]
An optimized crystal structure of CrBi2BBr, computed with PBE-GGA.

Cell: 5.2577 5.2577 4.2978 Å, 90.00 90.00 90.00°
Closest atoms and distances in Å follow each position.
Space group P4/mmm (No. 123)
Unique sites:
Cr: 0.0000 0.0000 0.0000 x1  2 B 2.15
Bi: 0.0000 0.5000 0.5000 x2  2 B 2.63
B: 0.0000 0.0000 0.5000 x1  2 Cr 2.15
Br: 0.5000 0.5000 0.0000 x1  8 Bi 3.40, 4 Cr 3.72



[8]
An optimized crystal structure of CsBi2BBr, computed with PBE-GGA.

Cell: 4.9472 4.9472 8.0118 Å, 90.00 90.00 90.00°
Closest atoms and distances in Å follow each position.
Space group P4/mmm (No. 123)
Unique sites:
Cs: 0.0000 0.0000 0.0000 x1  4 Br 3.50
Bi: 0.0000 0.5000 0.5000 x2  2 B 2.47
B: 0.0000 0.0000 0.5000 x1  4 Bi 2.47
Br: 0.5000 0.5000 0.0000 x1  4 Cs 3.50



Number 1: ρ 6545 kg/m3, formation energy from raw total energies 2280 meV/atom. Number 2: ρ 6602 kg/m3, formation energy from raw total energies 502 meV/atom. Number 3: ρ 6683 kg/m3, formation energy from raw total energies 726 meV/atom. Number 4: ρ 4484 kg/m3, formation energy from raw total energies 2317 meV/atom. Number 5: ρ 5658 kg/m3, formation energy from raw total energies 528 meV/atom. Number 6: ρ 4371 kg/m3, formation energy from raw total energies 1558 meV/atom. Number 7: ρ 7837 kg/m3, formation energy from raw total energies 657 meV/atom. Number 8: ρ 5433 kg/m3, formation energy from raw total energies 163 meV/atom.